The following is a PBE calculation of a relaxed structure of Hf4P3S, from Alexandria.

Results
ΔE to the lowest computed polymorph in meV/atom: 0
Raw formation energy in eV/atom: -1.226
Energy in eV/cell: -69.981
Magnetic moment in μB per formula unit: 0.0

Unit cell a=3.6953 b=3.6953 c=12.3277 alpha=81.38 beta=81.38 gamma=60.00
Closest atoms and distances in Å follow each position.
Atoms (fractional coordinates):
P  0.7503  0.7503  0.7491  6 Hf 2.54-2.57
P  0.5000  0.5000  0.5000  6 Hf 2.66
P  0.2497  0.2497  0.2509  6 Hf 2.54-2.57
S  0.0000  0.0000  0.0000  6 Hf 2.71
Hf  0.6207  0.6207  0.1378  3 P 2.54, 3 S 2.71
Hf  0.8770  0.8770  0.3690  6 P 2.57-2.66
Hf  0.3793  0.3793  0.8622  3 P 2.54, 3 S 2.71
Hf  0.1230  0.1230  0.6310  6 P 2.57-2.66

The following is a PBE calculation of a relaxed structure of Hf3PS3, from Alexandria.

Results
Raw formation energy in eV/atom: -1.484
Energy in eV/cell: -232.165
Magnetic moment in μB per formula unit: 0.0

Unit cell a=8.9325 b=8.9325 c=8.9325 alpha=109.47 beta=109.47 gamma=109.47
Closest atoms and distances in Å follow each position.
Atoms (fractional coordinates):
Hf  0.9894  0.4947  0.2447  2 P 2.52, 4 S 2.60-2.63
Hf  0.5053  0.0106  0.2553  2 P 2.52, 4 S 2.60-2.63
Hf  0.2500  0.0053  0.4947  2 P 2.52, 4 S 2.60-2.63
Hf  0.9947  0.7500  0.0053  2 P 2.52, 4 S 2.60-2.63
Hf  0.9947  0.2447  0.4894  2 P 2.52, 4 S 2.60-2.63
Hf  0.7553  0.0053  0.0106  2 P 2.52, 4 S 2.60-2.63
Hf  0.7447  0.4894  0.4947  2 P 2.52, 4 S 2.60-2.63
Hf  0.7553  0.7500  0.2447  2 P 2.52, 4 S 2.60-2.63
Hf  0.5106  0.2553  0.0053  2 P 2.52, 4 S 2.60-2.63
Hf  0.2500  0.2447  0.2553  2 P 2.52, 4 S 2.60-2.63
Hf  0.7447  0.2553  0.7500  2 P 2.52, 4 S 2.60-2.63
Hf  0.5053  0.4947  0.7500  2 P 2.52, 4 S 2.60-2.63
P  0.7500  0.5000  0.0000  6 Hf 2.52
P  0.5000  0.2500  0.5000  6 Hf 2.52
P  0.7500  0.2500  0.2500  6 Hf 2.52
P  0.0000  0.0000  0.2500  6 Hf 2.52
S  0.2480  0.9980  0.9961  4 Hf 2.60-2.63
S  0.7500  0.7520  0.7480  4 Hf 2.60-2.63
S  0.4961  0.7480  0.9980  4 Hf 2.60-2.63
S  0.0020  0.2500  0.9980  4 Hf 2.60-2.63
S  0.2520  0.7480  0.2500  4 Hf 2.60-2.63
S  0.4980  0.5020  0.2500  4 Hf 2.60-2.63
S  0.2480  0.2500  0.7520  4 Hf 2.60-2.63
S  0.2520  0.5039  0.5020  4 Hf 2.60-2.63
S  0.7500  0.9980  0.5020  4 Hf 2.60-2.63
S  0.0039  0.5020  0.7520  4 Hf 2.60-2.63
S  0.0020  0.7520  0.5039  4 Hf 2.60-2.63
S  0.4980  0.9961  0.7480  4 Hf 2.60-2.63

The following is a PBE calculation of a relaxed structure of Hf4P3S, from Alexandria.

Results
ΔE to the lowest computed polymorph in meV/atom: 223
Raw formation energy in eV/atom: -1.004
Energy in eV/cell: -136.399
Magnetic moment in μB per formula unit: 0.0

Unit cell a=5.1242 b=7.6308 c=8.8023 alpha=90.00 beta=90.00 gamma=90.00
Closest atoms and distances in Å follow each position.
Atoms (fractional coordinates):
Hf  0.0643  0.8297  0.0000  1 S 2.52, 4 P 2.56
Hf  0.5645  0.1595  0.0000  3 P 2.54-2.55, 2 S 2.56
Hf  0.0644  0.3324  0.2463  1 S 2.53, 4 P 2.53-2.56
Hf  0.5644  0.6676  0.2537  1 S 2.53, 4 P 2.53-2.56
Hf  0.0645  0.8405  0.5000  3 P 2.54-2.55, 2 S 2.56
Hf  0.5643  0.1703  0.5000  1 S 2.52, 4 P 2.56
Hf  0.5644  0.6676  0.7463  1 S 2.53, 4 P 2.53-2.56
Hf  0.0644  0.3324  0.7537  1 S 2.53, 4 P 2.53-2.56
P  0.5644  0.8247  0.0000  5 Hf 2.53-2.56
P  0.0644  0.6661  0.2536  5 Hf 2.54-2.56
P  0.5644  0.3339  0.2464  5 Hf 2.54-2.56
P  0.0644  0.1753  0.5000  5 Hf 2.53-2.56
P  0.5644  0.3339  0.7536  5 Hf 2.54-2.56
P  0.0644  0.6661  0.7464  5 Hf 2.54-2.56
S  0.0645  0.1604  0.0000  5 Hf 2.52-2.56
S  0.5645  0.8396  0.5000  5 Hf 2.52-2.56

The following is a PBE calculation of a relaxed structure of HfPS3, from Alexandria.

Results
ΔE to the lowest computed polymorph in meV/atom: 19
Raw formation energy in eV/atom: 0.071
Energy in eV/cell: -27.390
Magnetic moment in μB per formula unit: 0.0

Unit cell a=4.4278 b=4.4278 c=4.4278 alpha=90.00 beta=90.00 gamma=90.00
Closest atoms and distances in Å follow each position.
Atoms (fractional coordinates):
P  0.0000  0.0000  0.0000  6 S 2.21
S  0.0000  0.5000  0.0000  2 P 2.21
S  0.0000  0.0000  0.5000  2 P 2.21
S  0.5000  0.0000  0.0000  2 P 2.21
Hf  0.5000  0.5000  0.5000  12 S 3.13

The following is a PBE calculation of a relaxed structure of Hf3PS, from Alexandria.

Results
ΔE to the lowest computed polymorph in meV/atom: 0
Raw formation energy in eV/atom: -0.885
Energy in eV/cell: -175.300
Magnetic moment in μB per formula unit: 0.0

Unit cell a=6.1355 b=8.1212 c=8.1212 alpha=81.50 beta=81.52 gamma=81.52
Closest atoms and distances in Å follow each position.
Atoms (fractional coordinates):
Hf  0.5417  0.2212  0.0345  3 S 2.50-2.61, 2 P 2.61
Hf  0.0417  0.0345  0.2212  3 S 2.50-2.61, 2 P 2.61
Hf  0.9583  0.9655  0.7788  3 S 2.50-2.61, 2 P 2.61
Hf  0.4583  0.7788  0.9655  3 S 2.50-2.61, 2 P 2.61
Hf  0.9640  0.3227  0.4658  1 S 2.48, 2 P 2.61-2.63
Hf  0.4640  0.4658  0.3227  1 S 2.48, 2 P 2.61-2.63
Hf  0.5360  0.5342  0.6773  1 S 2.48, 2 P 2.61-2.63
Hf  0.0360  0.6773  0.5342  1 S 2.48, 2 P 2.61-2.63
Hf  0.9572  0.6318  0.1407  2 S 2.48-2.55, 2 P 2.55-2.61
Hf  0.4572  0.1407  0.6318  2 S 2.48-2.55, 2 P 2.55-2.61
Hf  0.5428  0.8593  0.3682  2 S 2.48-2.55, 2 P 2.55-2.61
Hf  0.0428  0.3682  0.8593  2 S 2.48-2.55, 2 P 2.55-2.61
P  0.8394  0.3392  0.1664  6 Hf 2.55-2.63
P  0.3394  0.1664  0.3392  6 Hf 2.55-2.63
P  0.6606  0.8336  0.6608  6 Hf 2.55-2.63
P  0.1606  0.6608  0.8336  6 Hf 2.55-2.63
S  0.2500  0.7460  0.2540  6 Hf 2.48-2.50
S  0.2500  0.0746  0.9254  6 Hf 2.55-2.61
S  0.7500  0.2540  0.7460  6 Hf 2.48-2.50
S  0.7500  0.9254  0.0746  6 Hf 2.55-2.61

The following is a PBE calculation of a relaxed structure of Hf6P2S, from Alexandria.

Results
ΔE to the lowest computed polymorph in meV/atom: 17
Raw formation energy in eV/atom: -0.943
Energy in eV/cell: -166.312
Magnetic moment in μB per formula unit: 0.0

Unit cell a=5.8892 b=6.6201 c=8.7118 alpha=90.00 beta=92.06 gamma=90.00
Closest atoms and distances in Å follow each position.
Atoms (fractional coordinates):
Hf  0.8300  0.9660  0.2387  1 S 2.46, 2 P 2.60-2.63
Hf  0.8451  0.6619  0.5643  1 S 2.49, 2 P 2.62-2.67
Hf  0.8610  0.6930  0.9426  1 S 2.55, 3 P 2.65-2.78
Hf  0.6390  0.1930  0.5574  1 S 2.55, 3 P 2.65-2.78
Hf  0.6549  0.1619  0.9357  1 S 2.49, 2 P 2.62-2.67
Hf  0.6700  0.4660  0.2613  1 S 2.46, 2 P 2.60-2.63
Hf  0.1700  0.0340  0.7613  1 S 2.46, 2 P 2.60-2.63
Hf  0.1549  0.3381  0.4357  1 S 2.49, 2 P 2.62-2.67
Hf  0.1390  0.3070  0.0574  1 S 2.55, 3 P 2.65-2.78
Hf  0.3610  0.8070  0.4426  1 S 2.55, 3 P 2.65-2.78
Hf  0.3451  0.8381  0.0643  1 S 2.49, 2 P 2.62-2.67
Hf  0.3300  0.5340  0.7387  1 S 2.46, 2 P 2.60-2.63
P  0.9329  0.3708  0.7697  7 Hf 2.60-2.78
P  0.5671  0.8708  0.7303  7 Hf 2.60-2.78
P  0.4329  0.1292  0.2697  7 Hf 2.60-2.78
P  0.0671  0.6292  0.2303  7 Hf 2.60-2.78
S  0.5000  0.5000  0.0000  6 Hf 2.46-2.55
S  0.0000  0.0000  0.5000  6 Hf 2.46-2.55

The following is a PBE calculation of a relaxed structure of HfP2S8, from Alexandria.

Results
Raw formation energy in eV/atom: -0.470
Energy in eV/cell: -58.958
Magnetic moment in μB per formula unit: 0.0

Unit cell a=5.7978 b=7.3665 c=7.3665 alpha=101.60 beta=92.98 gamma=92.98
Closest atoms and distances in Å follow each position.
Atoms (fractional coordinates):
Hf  0.0000  0.0000  0.0000  6 S 2.54-2.63
P  0.4323  0.2224  0.2224  4 S 2.02-2.15
P  0.5677  0.7776  0.7776  4 S 2.02-2.15
S  0.7229  0.0180  0.7271  1 P 2.05
S  0.2771  0.2729  0.9820  1 P 2.05
S  0.7826  0.2366  0.2366  1 P 2.02
S  0.2174  0.7634  0.7634  1 P 2.02
S  0.7229  0.7271  0.0180  1 P 2.05
S  0.2771  0.9820  0.2729  1 P 2.05
S  0.3370  0.4406  0.4406  1 S 2.11, 1 P 2.15
S  0.6630  0.5594  0.5594  1 S 2.11, 1 P 2.15

The following is a PBE calculation of a relaxed structure of Hf7P2S2, from Alexandria.

Results
Raw formation energy in eV/atom: -1.004
Energy in eV/cell: -99.790
Magnetic moment in μB per formula unit: 0.0

Unit cell a=3.4206 b=8.2745 c=8.2745 alpha=60.28 beta=78.07 gamma=78.07
Closest atoms and distances in Å follow each position.
Atoms (fractional coordinates):
Hf  0.8234  0.0694  0.2837  3 S 2.59-2.68, 1 P 2.70
Hf  0.8587  0.4163  0.8663  2 S 2.66, 2 P 2.67
Hf  0.5000  0.0156  0.9844  3 P 2.75
Hf  0.6146  0.4866  0.2842  2 S 2.62, 3 P 2.65-2.67
Hf  0.3854  0.7158  0.5134  2 S 2.62, 3 P 2.65-2.67
Hf  0.1766  0.7163  0.9306  3 S 2.59-2.68, 1 P 2.70
Hf  0.1413  0.1337  0.5837  2 S 2.66, 2 P 2.67
P  0.0000  0.7560  0.2440  8 Hf 2.67-2.75
P  0.5000  0.3460  0.6540  7 Hf 2.65-2.75
S  0.7429  0.8563  0.6580  7 Hf 2.59-2.68
S  0.2571  0.3420  0.1437  7 Hf 2.59-2.68

The following is a PBE calculation of a relaxed structure of HfScPS2, from Alexandria.

Results
ΔE to the lowest computed polymorph in meV/atom: 450
Raw formation energy in eV/atom: -0.199
Energy in eV/cell: -30.947
Magnetic moment in μB per formula unit: 0.0

Unit cell a=4.6920 b=4.6920 c=4.9716 alpha=90.00 beta=90.00 gamma=90.00
Closest atoms and distances in Å follow each position.
Atoms (fractional coordinates):
Sc  0.0000  0.0000  0.0000  4 S 2.35, 2 P 2.49
P  0.0000  0.0000  0.5000  2 Sc 2.49
S  0.0000  0.5000  0.0000  2 Sc 2.35
S  0.5000  0.0000  0.0000  2 Sc 2.35
Hf  0.5000  0.5000  0.5000  4 P 3.32, 8 S 3.42

The following is a PBE calculation of a relaxed structure of HfScPS2, from Alexandria.

Results
ΔE to the lowest computed polymorph in meV/atom: 0
Raw formation energy in eV/atom: -0.650
Energy in eV/cell: -33.198
Magnetic moment in μB per formula unit: 0.0

Unit cell a=4.8103 b=5.0712 c=4.8103 alpha=90.00 beta=90.00 gamma=90.00
Closest atoms and distances in Å follow each position.
Atoms (fractional coordinates):
Sc  0.5000  0.5000  0.5000  4 P 3.40, 8 S 3.49
P  0.0000  0.5000  0.0000  2 Hf 2.54
S  0.0000  0.0000  0.5000  2 Hf 2.41
S  0.5000  0.0000  0.0000  2 Hf 2.41
Hf  0.0000  0.0000  0.0000  4 S 2.41, 2 P 2.54